[1]
Here is a relaxed CeSm2HfAs4 crystal from Alexandria. Energies are from PBE.

Cell: 7.109 4.105 7.122 Å, 90.00 109.25 90.00°
Space group P2/m (No. 10)
Unique sites:
1 Ce 0.000 0.000 0.000
2 Sm 0.000 0.500 0.500
3 Sm 0.500 0.000 0.500
4 Hf 0.500 0.500 0.000
5 As 0.259 0.500 0.239
6 As 0.267 0.000 0.768

Calculated values
The value obtained for the total moment is 0.08 μB per atom. Its total energy is -6.8440 eV/atom.

***

[2]
Here is a relaxed BeBi2Br crystal from Alexandria. Energies are from PBE.

Cell: 7.373 7.373 7.373 Å, 90.00 90.00 90.00°
Space group Fm-3m (No. 225)
Unique sites:
1 Be 0.000 0.000 0.000
2 Bi 0.250 0.250 0.250
3 Br 0.000 0.000 0.500

Calculated values
As for the uncorrected formation energy: 0.4874 eV per atom. The value obtained for the total moment is 0.00 μB per atom. The distance to the lowest polymorph of the same formula is 154 meV/atom.

***

[3]
Here is a relaxed CrBiRu crystal from Alexandria. Energies are from PBE.

Cell: 2.939 3.847 10.426 Å, 90.00 97.37 90.00°
Space group P2_1/m (No. 11)
Unique sites:
1 Cr 0.025 0.250 0.060
2 Bi 0.161 0.250 0.338
3 Ru 0.433 0.250 0.851

Calculated values
The value obtained for the total moment is 0.00 μB per atom. The distance to the lowest polymorph of the same formula is 46 meV/atom.

***

[4]
Here is a relaxed LiMgP2 crystal from Alexandria. Energies are from PBE.

Cell: 3.964 4.232 7.442 Å, 90.00 90.00 90.00°
Space group Immm (No. 71)
Unique sites:
1 Li 0.000 0.000 0.000
2 Mg 0.000 0.000 0.500
3 P 0.000 0.500 0.251

Calculated values
The value obtained for the total moment is 0.00 μB per atom. Its total energy is -3.8471 eV/atom.

***

[5]
Here is a relaxed TcPSeS2 crystal from Alexandria. Energies are from PBE.

Cell: 4.705 4.705 4.814 Å, 90.00 90.00 90.00°
Space group P4/mmm (No. 123)
Unique sites:
1 Tc 0.000 0.000 0.000
2 P 0.500 0.500 0.000
3 Se 0.500 0.500 0.500
4 S 0.000 0.500 0.500

Calculated values
As for the uncorrected formation energy: 1.2898 eV per atom. The value obtained for the total moment is 0.69 μB per atom. The distance to the lowest polymorph of the same formula is 825 meV/atom.

***

[6]
Here is a relaxed Mn5Ni4 crystal from Alexandria. Energies are from PBE.

Cell: 7.0910 7.0910 4.9658 Å, 90.00 90.00 120.00°
Space group P6_3/mcm (No. 193)
Unique sites:
1 Mn 0.0000 0.3196 0.2500
2 Mn 0.3333 0.6667 0.0000
3 Ni 0.0000 0.0000 0.0000
4 Ni 0.0000 0.3473 0.7500

Calculated values
The value obtained for the total moment is 0.59 μB per atom. The distance to the lowest polymorph of the same formula is 0 meV/atom.

***

[7]
Here is a relaxed Pm2HoIn2Ag2 crystal from Alexandria. Energies are from PBE.

Cell: 4.8560 4.8560 27.1867 Å, 90.00 90.00 120.00°
Space group R-3m (No. 166, hexagonal axes)
Unique sites:
1 Pm 0.0000 0.0000 0.1255
2 Ho 0.0000 0.0000 0.0000
3 In 0.0000 0.0000 0.2638
4 Ag 0.0000 0.0000 0.3910

Calculated values
The value obtained for the total moment is 0.00 μB per atom. Its total energy is -3.8997 eV/atom.

***

[8]
Here is a relaxed LiAlAgF5 crystal from Alexandria. Energies are from PBE.

Cell: 6.673 9.209 7.213 Å, 90.00 113.70 90.00°
Space group C2/c (No. 15)
Unique sites:
1 Li 0.000 0.189 0.250
2 Al 0.000 0.500 0.000
3 Ag 0.000 0.164 0.750
4 F 0.000 0.448 0.750
5 F 0.094 0.317 0.092
6 F 0.219 0.060 0.415

Calculated values
As for the uncorrected formation energy: -2.7908 eV per atom. The value obtained for the total moment is 0.00 μB per atom.